Ca2BrOF: optimized geometry, PBE-GGA.

Properties
uncorrected energy: -54.44 eV/cell
magnetic moment: 0.04 μB per formula unit

Cell lengths 6.9138, 6.9138, 9.7000 Å; angles 125.38, 125.38, 33.30 degrees
Atoms (fractional coordinates):
Ca (0.0599, 0.0599, 0.2988)
Ca (0.3204, 0.3204, 0.9422)
Ca (0.6796, 0.6796, 0.0578)
Ca (0.9401, 0.9401, 0.7012)
Br (0.3301, 0.3301, 0.3998)
Br (0.6699, 0.6699, 0.6002)
O (0.1369, 0.1369, 0.9171)
O (0.8631, 0.8631, 0.0829)
F (0.4334, 0.4334, 0.8170)
F (0.5666, 0.5666, 0.1830)